SmTl3W2O9 | Alexandria via LeMat-Bulk | GGA+U | relaxed; raw total energy = -98.96 eV/cell; SG = P-3m1 (164)
1.0
5.927 0.000 0.000
-2.963 5.133 0.000
0.000 0.000 7.378
Sm Tl W O
1 3 2 9
Direct
0.000 0.000 0.000
0.000 0.000 0.500
0.333 0.667 0.173
0.667 0.333 0.827
0.333 0.667 0.661
0.667 0.333 0.339
0.000 0.500 0.500
0.181 0.361 0.804
0.181 0.819 0.804
0.361 0.181 0.196
0.500 0.000 0.500
0.500 0.500 0.500
0.639 0.819 0.804
0.819 0.181 0.196
0.819 0.639 0.196